No. 1
Computed, not measured: a relaxed structure of NpIn2RhO8 at the PBE-GGA level of DFT.

Calculated values
**E**: -7.14 eV/atom

Unit cell a=4.9491 b=6.4618 c=4.9581 alpha=90.00 beta=92.16 gamma=90.00
Last column: nearest neighbours and their distance in Å.
Space group P2/m (No. 10)
Inequivalent atoms, fractional coordinates:
Np1 0.0000 0.0000 0.0000 [1 per cell]  6 O 2.06-2.09
In1 0.5000 0.2584 0.5000 [2 per cell]  6 O 2.13-2.25
Rh1 0.0000 0.5000 0.0000 [1 per cell]  6 O 1.98-2.08
O1 0.1861 0.2509 0.8166 [4 per cell]  1 Rh 2.08, 1 Np 2.09, 1 In 2.25
O2 0.2876 0.5000 0.2900 [2 per cell]  1 Rh 1.98, 2 In 2.13
O3 0.2989 0.0000 0.3016 [2 per cell]  1 Np 2.06, 2 In 2.16

No. 2
Computed, not measured: a relaxed structure of LuMgAgGe at the PBE-GGA level of DFT.

Calculated values
**Energy relative to the elements**: -395 meV/atom

Unit cell a=6.8731 b=6.8731 c=6.8731 alpha=90.00 beta=90.00 gamma=90.00
Last column: nearest neighbours and their distance in Å.
Space group F-43m (No. 216)
Inequivalent atoms, fractional coordinates:
Lu1 0.0000 0.0000 0.0000 [4 per cell]  4 Ge 2.98, 4 Ag 2.98
Mg1 0.0000 0.0000 0.5000 [4 per cell]  4 Ge 2.98, 4 Ag 2.98
Ag1 0.2500 0.2500 0.2500 [4 per cell]  4 Mg 2.98, 4 Lu 2.98
Ge1 0.2500 0.2500 0.7500 [4 per cell]  4 Mg 2.98, 4 Lu 2.98

No. 3
Computed, not measured: a relaxed structure of NaP2HCl at the PBE-GGA level of DFT.

Calculated values
**Polymorph energy (0 for the lowest one)**: 7.252 eV per formula unit

Unit cell a=5.1974 b=5.1974 c=5.2272 alpha=90.00 beta=90.00 gamma=90.00
Last column: nearest neighbours and their distance in Å.
Space group P4/mmm (No. 123)
Inequivalent atoms, fractional coordinates:
Na1 0.0000 0.0000 0.0000 [1 per cell]  4 P 2.60, 2 Cl 2.61
P1 0.0000 0.5000 0.0000 [2 per cell]  2 Na 2.60
H1 0.5000 0.5000 0.5000 [1 per cell]  4 Cl 3.68, 8 P 3.69
Cl1 0.0000 0.0000 0.5000 [1 per cell]  2 Na 2.61

No. 4
Computed, not measured: a relaxed structure of Ga4TcPd at the PBE-GGA level of DFT.

Calculated values
**Energy relative to the elements**: -96 meV/atom

Unit cell a=9.3138 b=9.3387 c=2.8010 alpha=90.00 beta=90.00 gamma=90.00
Last column: nearest neighbours and their distance in Å.
Space group Cmmm (No. 65)
Inequivalent atoms, fractional coordinates:
Ga1 0.0000 0.2298 0.0000 [4 per cell]  1 Pd 2.52, 2 Tc 2.56, 2 Ga 2.80
Ga2 0.2305 0.5000 0.5000 [4 per cell]  1 Tc 2.51, 2 Pd 2.56, 2 Ga 2.80
Tc1 0.0000 0.0000 0.5000 [2 per cell]  6 Ga 2.51-2.56, 2 Tc 2.80
Pd1 0.0000 0.5000 0.0000 [2 per cell]  6 Ga 2.52-2.56, 2 Pd 2.80

No. 5
Computed, not measured: a relaxed structure of AcTlPd2 at the PBE-GGA level of DFT.

Calculated values
**Energy relative to the elements**: -657 meV/atom

Unit cell a=5.8085 b=4.4693 c=7.4812 alpha=90.00 beta=90.00 gamma=90.00
Last column: nearest neighbours and their distance in Å.
Space group Pmma (No. 51)
Inequivalent atoms, fractional coordinates:
Ac1 0.2500 0.0000 0.2416 [2 per cell]  7 Pd 3.02-3.29
Tl1 0.2500 0.5000 0.8681 [2 per cell]  4 Pd 2.78-3.11
Pd1 0.0000 0.5000 0.5000 [2 per cell]  6 Pd 2.88-2.90, 2 Tl 3.11
Pd2 0.2500 0.0000 0.6466 [2 per cell]  2 Tl 2.78, 4 Pd 2.88, 3 Ac 3.02-3.03

No. 6
Computed, not measured: a relaxed structure of Er3ScPd12 at the PBE-GGA level of DFT.

Calculated values
**Energy relative to the elements**: -884 meV/atom

Unit cell a=4.0798 b=4.0798 c=16.3344 alpha=90.00 beta=90.00 gamma=90.00
Last column: nearest neighbours and their distance in Å.
Space group P4/mmm (No. 123)
Inequivalent atoms, fractional coordinates:
Er1 0.0000 0.0000 0.0000 [1 per cell]  12 Pd 2.88-2.91
Er2 0.0000 0.0000 0.2530 [2 per cell]  12 Pd 2.88-2.91
Sc1 0.0000 0.0000 0.5000 [1 per cell]  12 Pd 2.83-2.88
Pd1 0.0000 0.5000 0.1267 [4 per cell]  8 Pd 2.88-2.91, 4 Er 2.90-2.91
Pd2 0.0000 0.5000 0.3803 [4 per cell]  8 Pd 2.83-2.91, 2 Sc 2.83, 2 Er 2.91
Pd3 0.5000 0.5000 0.0000 [1 per cell]  4 Er 2.88, 8 Pd 2.91
Pd4 0.5000 0.5000 0.2535 [2 per cell]  4 Er 2.88, 8 Pd 2.91
Pd5 0.5000 0.5000 0.5000 [1 per cell]  8 Pd 2.83, 4 Sc 2.88